# K2AcNiF8 | Alexandria via LeMat-Bulk | GGA+U | relaxed
data_K2AcNiF8
_cell_length_a 4.450
_cell_length_b 7.444
_cell_length_c 6.058
_cell_angle_alpha 90.00
_cell_angle_beta 95.31
_cell_angle_gamma 90.00
_symmetry_space_group_name_H-M 'P 1'
_symmetry_Int_Tables_number 1
loop_
_symmetry_equiv_pos_as_xyz
'x,y,z'
loop_
_atom_site_label
_atom_site_type_symbol
_atom_site_fract_x
_atom_site_fract_y
_atom_site_fract_z
K1 K 0.000 0.224 0.000
K2 K 0.000 0.776 0.000
Ac1 Ac 0.500 0.500 0.500
Ni1 Ni 0.500 0.000 0.500
F1 F 0.011 0.500 0.273
F2 F 0.138 0.000 0.326
F3 F 0.415 0.208 0.700
F4 F 0.415 0.792 0.700
F5 F 0.585 0.208 0.300
F6 F 0.585 0.792 0.300
F7 F 0.862 0.000 0.674
F8 F 0.989 0.500 0.727
# mass density = 4.29 g cm⁻³
# E = -4.856 eV per atom